The following is a PBE calculation of a geometry-optimized La2PrSm6Er3 structure, from the Alexandria database.

Unit cell a=6.288 b=6.288 c=12.017 alpha=95.01 beta=95.01 gamma=120.03
Element x y z (fractional)
1 Sm 0.914 0.581 0.743
2 Er 0.833 0.167 0.500
3 Sm 0.086 0.419 0.257
4 Sm 0.419 0.086 0.257
5 Pr 0.000 0.000 0.000
6 La 0.333 0.667 0.000
7 Er 0.167 0.833 0.500
8 Sm 0.753 0.753 0.257
9 Sm 0.247 0.247 0.743
10 La 0.667 0.333 0.000
11 Sm 0.581 0.914 0.743
12 Er 0.500 0.500 0.500

The value obtained for the mass density is 7.47 g/cm3. For the magnetic moment, the calculation gives 0.00 Bohr magnetons per cell. As for the space group: C2/m. The calculation puts the volume at 405.0 Å³ per cell. The calculation puts the calculated formation energy at 0.52 kcal/mol of atoms. The crystal system is monoclinic.